## RbTmGaS4 (PBE-GGA)

Data for an optimized crystal structure of RbTmGaS4.

a b c (Å): 6.826 5.689 9.491
angles (deg): 90.00 105.87 90.00
Atoms (fractional coordinates):
Rb1 0.246 0.250 0.456
Rb2 0.754 0.750 0.544
Tm1 0.245 0.250 0.943
Tm2 0.755 0.750 0.057
Ga1 0.245 0.750 0.168
Ga2 0.755 0.250 0.832
S1 0.047 0.750 0.318
S2 0.075 0.750 0.928
S3 0.490 0.517 0.803
S4 0.490 0.983 0.803
S5 0.510 0.017 0.197
S6 0.510 0.483 0.197
S7 0.925 0.250 0.072
S8 0.953 0.250 0.682

Summary:
Crystal system: monoclinic
Space group: No. 11
V: 354.5 Å³ per cell
Magnetic moment: 0.30 μB/cell
Total energy: -66.9 eV for the cell shown
Raw formation energy: -1.213 eV/atom
DOS(E_F): 0.242 states/eV/atom